Below is a PBEsol-optimized structure of TlTcW2, with properties calculated at the meta-GGA SCAN level.

The structure belongs to space group Imm2 (No. 44); the cell edges are 3.219, 4.547 and 9.035 Å and the angles 90.00°, 90.00° and 90.00°. The distinct sites, in fractional coordinates, are Tl at (0.000, 0.000, 0.000), Tc at (0.000, 0.500, 0.238), W at (0.000, 0.000, 0.500) and W at (0.000, 0.500, 0.767).

For the total energy, the calculation gives -487.72 eV per cell. As for the polymorph energy (0 for the lowest one): 0.33 eV/f.u.

=====

Below is a PBEsol-optimized structure of Mn5Os, with properties calculated at the meta-GGA SCAN level.

The structure belongs to space group Cmmm (No. 65); the cell edges are 3.589, 10.733 and 3.529 Å and the angles 90.00°, 90.00° and 90.00°. The distinct sites, in fractional coordinates, are Mn at (0.000, 0.000, 0.000), Mn at (0.000, 0.169, 0.500), Mn at (0.000, 0.329, 0.000) and Os at (0.000, 0.500, 0.500).

For the total energy, the calculation gives -328.07 eV per cell.